Entry P
# Nd2US6 | the Alexandria database | PBE | relaxed
# Magnetic moment (μB per atom): 0.01
# Density of states at the Fermi level (states/eV/cell): 0.30
data_Nd2US6
_cell_length_a 6.4209
_cell_length_b 6.4209
_cell_length_c 12.4449
_cell_angle_alpha 90.00
_cell_angle_beta 90.00
_cell_angle_gamma 90.00
_space_group_name_H-M_alt 'P 42/m n m'
_space_group_IT_number 136
_space_group_name_Hall '-P 4n 2n'
loop_
_atom_site_label
_atom_site_fract_x
_atom_site_fract_y
_atom_site_fract_z
Nd1 0.0000 0.0000 0.1659
U1 0.0000 0.0000 0.5000
S1 0.1875 0.1875 0.3472
S2 0.2146 0.2146 0.0000

Entry Q
# Nd2US6 | the Alexandria database | PBE | relaxed
# Magnetic moment (μB per atom): 0.00
data_Nd2US6
_cell_length_a 6.6553
_cell_length_b 7.1896
_cell_length_c 11.1100
_cell_angle_alpha 90.00
_cell_angle_beta 119.28
_cell_angle_gamma 90.00
_space_group_name_H-M_alt 'P 1 21/c 1'
_space_group_IT_number 14
_space_group_name_Hall '-P 2ybc'
loop_
_atom_site_label
_atom_site_fract_x
_atom_site_fract_y
_atom_site_fract_z
Nd1 0.1775 0.0973 0.2318
U1 0.5000 0.0000 0.0000
S1 0.1368 0.1844 0.9462
S2 0.2505 0.7034 0.9185
S3 0.4182 0.0612 0.7576

Most stable: entry Q (next structure +0.089 eV/atom)